PuSc5, relaxed, DFT PBE; DFT formation energy = 0.076 eV per atom; total moment = 6.21 μB/f.u.; symmetry = Cmmm
1.0
4.624 0.000 0.000
0.000 4.644 0.000
0.000 -2.322 6.827
Sc Pu
5 1
direct
0.500 0.836 0.671 Sc
0.000 0.666 0.332 Sc
0.500 0.500 0.000 Sc
0.000 0.334 0.668 Sc
0.500 0.164 0.329 Sc
0.000 0.000 0.000 Pu

RbLi2HgPb, relaxed, DFT PBE; DFT formation energy = -0.108 eV per atom; total moment = 0.00 μB/f.u.; symmetry = P4/mmm
1.0
-2.345 3.067 3.854
-4.207 -3.467 0.199
2.826 -3.185 4.255
Pb Hg Rb Li
1 1 1 2
direct
0.000 0.000 0.000 Pb
0.000 0.000 0.500 Hg
0.500 0.500 0.500 Rb
0.000 0.500 0.000 Li
0.500 0.000 0.000 Li

Question: Which value of total moment does entry 1 give?
Answer: 6.21 μB/f.u.